[1]
# LaMgS3 (PBE, relaxed)
# Size of the total moment = 0.83 μB/cell
# Crystal system = cubic
# Formation energy (no corrections) = -0.48 eV/atom
# Energy above the lowest structure with this stoichiometry = 935 meV/atom
# Volume = 32.1 A^3/atom
# DOS at the Fermi energy = 5.509 states/eV/cell
data_LaMgS3
_chemical_formula_sum 'La1 Mg1 S3'
_cell_length_a 5.436
_cell_length_b 5.436
_cell_length_c 5.436
_cell_angle_alpha 90.00
_cell_angle_beta 90.00
_cell_angle_gamma 90.00
_symmetry_space_group_name_H-M 'P m -3 m'
_symmetry_Int_Tables_number 221
_symmetry_space_group_name_Hall '-P 4 2 3'
loop_
_atom_site_label
_atom_site_fract_x
_atom_site_fract_y
_atom_site_fract_z
La1 0.000 0.000 0.000
Mg1 0.500 0.500 0.500
S1 0.000 0.000 0.500

=====

[2]
# LiCePmAl (PBE, relaxed)
# Size of the total moment = 2.76 μB/cell
# Crystal system = cubic
# Formation enthalpy at 0 K = -0.10 eV/atom
# Volume = 25.4 A^3/atom
# DOS at the Fermi energy = 29.668 states/eV/cell
data_LiCePmAl
_chemical_formula_sum 'Li4 Ce4 Pm4 Al4'
_cell_length_a 7.407
_cell_length_b 7.407
_cell_length_c 7.407
_cell_angle_alpha 90.00
_cell_angle_beta 90.00
_cell_angle_gamma 90.00
_symmetry_space_group_name_H-M 'F -4 3 m'
_symmetry_Int_Tables_number 216
_symmetry_space_group_name_Hall 'F -4 2 3'
loop_
_atom_site_label
_atom_site_fract_x
_atom_site_fract_y
_atom_site_fract_z
Li1 0.000 0.000 0.000
Ce1 0.250 0.250 0.250
Pm1 0.250 0.250 0.750
Al1 0.000 0.000 0.500

=====

[3]
# PuTlSn2 (PBE, relaxed)
# Size of the total moment = 5.53 μB/cell
# Crystal system = tetragonal
# Formation enthalpy at 0 K = -0.13 eV/atom
# Volume = 27.4 A^3/atom
# DOS at the Fermi energy = 10.048 states/eV/cell
data_PuTlSn2
_chemical_formula_sum 'Pu1 Tl1 Sn2'
_cell_length_a 5.573
_cell_length_b 5.573
_cell_length_c 3.532
_cell_angle_alpha 90.00
_cell_angle_beta 90.00
_cell_angle_gamma 90.00
_symmetry_space_group_name_H-M 'P 4/m m m'
_symmetry_Int_Tables_number 123
_symmetry_space_group_name_Hall '-P 4 2'
loop_
_atom_site_label
_atom_site_fract_x
_atom_site_fract_y
_atom_site_fract_z
Pu1 0.000 0.000 0.000
Tl1 0.500 0.500 0.000
Sn1 0.000 0.500 0.500

=====

[4]
# TeOsCl2 (PBE, relaxed)
# Size of the total moment = 0.00 μB/cell
# Crystal system = orthorhombic
# Formation energy (no corrections) = 0.41 eV/atom
# Energy above the lowest structure with this stoichiometry = 452 meV/atom
# Volume = 23.0 A^3/atom
# DOS at the Fermi energy = 4.275 states/eV/cell
data_TeOsCl2
_chemical_formula_sum 'Te2 Os2 Cl4'
_cell_length_a 3.228
_cell_length_b 4.969
_cell_length_c 11.487
_cell_angle_alpha 90.00
_cell_angle_beta 90.00
_cell_angle_gamma 90.00
_symmetry_space_group_name_H-M 'I m m 2'
_symmetry_Int_Tables_number 44
loop_
_symmetry_equiv_pos_as_xyz
'x,y,z'
'-x,-y,z'
'-x,y,z'
'x,-y,z'
'x+1/2,y+1/2,z+1/2'
'-x+1/2,-y+1/2,z+1/2'
'-x+1/2,y+1/2,z+1/2'
'x+1/2,-y+1/2,z+1/2'
loop_
_atom_site_label
_atom_site_fract_x
_atom_site_fract_y
_atom_site_fract_z
Te1 0.000 0.000 0.000
Os1 0.000 0.500 0.332
Cl1 0.000 0.000 0.650
Cl2 0.000 0.500 0.825

=====

[5]
# ZrTeMo (PBE, relaxed)
# Size of the total moment = 0.00 μB/cell
# Crystal system = trigonal
# Formation energy (no corrections) = 0.02 eV/atom
# Energy above the lowest structure with this stoichiometry = 404 meV/atom
# Volume = 20.5 A^3/atom
# DOS at the Fermi energy = 3.475 states/eV/cell
data_ZrTeMo
_chemical_formula_sum 'Zr1 Te1 Mo1'
_cell_length_a 4.6497
_cell_length_b 4.6497
_cell_length_c 3.2882
_cell_angle_alpha 90.00
_cell_angle_beta 90.00
_cell_angle_gamma 120.00
_symmetry_space_group_name_H-M 'P 3 m 1'
_symmetry_Int_Tables_number 156
loop_
_symmetry_equiv_pos_as_xyz
'x,y,z'
'-y,x-y,z'
'-x+y,-x,z'
'-y,-x,z'
'-x+y,y,z'
'x,x-y,z'
loop_
_atom_site_label
_atom_site_fract_x
_atom_site_fract_y
_atom_site_fract_z
Zr1 0.0000 0.0000 0.0000
Te1 0.3333 0.6667 0.4525
Mo1 0.6667 0.3333 0.4282

=====

[6]
# Nd4GePt (PBE, relaxed)
# Size of the total moment = 0.00 μB/cell
# Crystal system = orthorhombic
# Formation enthalpy at 0 K = -0.52 eV/atom
# Volume = 30.4 A^3/atom
# DOS at the Fermi energy = 26.215 states/eV/cell
data_Nd4GePt
_chemical_formula_sum 'Nd16 Ge4 Pt4'
_cell_length_a 5.459
_cell_length_b 21.255
_cell_length_c 6.295
_cell_angle_alpha 90.00
_cell_angle_beta 90.00
_cell_angle_gamma 90.00
_symmetry_space_group_name_H-M 'C m c 21'
_symmetry_Int_Tables_number 36
loop_
_symmetry_equiv_pos_as_xyz
'x,y,z'
'-x,-y,z+1/2'
'-x,y,z'
'x,-y,z+1/2'
'x+1/2,y+1/2,z'
'-x+1/2,-y+1/2,z+1/2'
'-x+1/2,y+1/2,z'
'x+1/2,-y+1/2,z+1/2'
loop_
_atom_site_label
_atom_site_fract_x
_atom_site_fract_y
_atom_site_fract_z
Nd1 0.000 0.055 0.000
Nd2 0.000 0.196 0.260
Nd3 0.000 0.211 0.775
Nd4 0.000 0.390 0.032
Ge1 0.000 0.340 0.513
Pt1 0.000 0.078 0.508

=====

[7]
# LiAgTe2 (PBE, relaxed)
# Size of the total moment = 0.00 μB/cell
# Crystal system = orthorhombic
# Formation energy (no corrections) = -0.24 eV/atom
# Volume = 24.4 A^3/atom
# DOS at the Fermi energy = 4.687 states/eV/cell
data_LiAgTe2
_chemical_formula_sum 'Li2 Ag2 Te4'
_cell_length_a 3.901
_cell_length_b 4.222
_cell_length_c 11.854
_cell_angle_alpha 90.00
_cell_angle_beta 90.00
_cell_angle_gamma 90.00
_symmetry_space_group_name_H-M 'I m m 2'
_symmetry_Int_Tables_number 44
loop_
_symmetry_equiv_pos_as_xyz
'x,y,z'
'-x,-y,z'
'-x,y,z'
'x,-y,z'
'x+1/2,y+1/2,z+1/2'
'-x+1/2,-y+1/2,z+1/2'
'-x+1/2,y+1/2,z+1/2'
'x+1/2,-y+1/2,z+1/2'
loop_
_atom_site_label
_atom_site_fract_x
_atom_site_fract_y
_atom_site_fract_z
Li1 0.000 0.000 0.000
Ag1 0.000 0.500 0.216
Te1 0.000 0.000 0.534
Te2 0.000 0.500 0.813

=====

[8]
# CsScRhW2 (PBE, relaxed)
# Size of the total moment = 0.00 μB/cell
# Crystal system = tetragonal
# Formation enthalpy at 0 K = 2.31 eV/atom
# Volume = 24.5 A^3/atom
# DOS at the Fermi energy = 7.711 states/eV/cell
data_CsScRhW2
_chemical_formula_sum 'Cs1 Sc1 Rh1 W2'
_cell_length_a 4.966
_cell_length_b 4.966
_cell_length_c 4.963
_cell_angle_alpha 90.00
_cell_angle_beta 90.00
_cell_angle_gamma 90.00
_symmetry_space_group_name_H-M 'P 4/m m m'
_symmetry_Int_Tables_number 123
_symmetry_space_group_name_Hall '-P 4 2'
loop_
_atom_site_label
_atom_site_fract_x
_atom_site_fract_y
_atom_site_fract_z
Cs1 0.000 0.000 0.000
Sc1 0.500 0.500 0.500
Rh1 0.500 0.500 0.000
W1 0.000 0.500 0.500

=====

[9]
# Er4AlSeS2 (PBE, relaxed)
# Size of the total moment = 0.00 μB/cell
# Crystal system = monoclinic
# Formation energy (no corrections) = -1.44 eV/atom
# Volume = 22.6 A^3/atom
# DOS at the Fermi energy = 3.209 states/eV/cell
data_Er4AlSeS2
_chemical_formula_sum 'Er4 Al1 Se1 S2'
_cell_length_a 7.011
_cell_length_b 3.880
_cell_length_c 7.018
_cell_angle_alpha 90.00
_cell_angle_beta 108.43
_cell_angle_gamma 90.00
_symmetry_space_group_name_H-M 'P 1 2/m 1'
_symmetry_Int_Tables_number 10
loop_
_symmetry_equiv_pos_as_xyz
'x,y,z'
'-x,-y,-z'
'-x,y,-z'
'x,-y,z'
loop_
_atom_site_label
_atom_site_fract_x
_atom_site_fract_y
_atom_site_fract_z
Er1 0.237 0.000 0.244
Er2 0.238 0.500 0.740
Al1 0.500 0.500 0.500
Se1 0.500 0.000 0.000
S1 0.000 0.000 0.500
S2 0.000 0.500 0.000

=====

[10]
# Ti3NbIn (PBE, relaxed)
# Size of the total moment = 0.17 μB/cell
# Crystal system = cubic
# Energy above the lowest structure with this stoichiometry = 848 meV/atom
# Formation enthalpy at 0 K = 0.80 eV/atom
# Volume = 22.2 A^3/atom
# DOS at the Fermi energy = 7.001 states/eV/cell
data_Ti3NbIn
_chemical_formula_sum 'Ti3 Nb1 In1'
_cell_length_a 4.804
_cell_length_b 4.804
_cell_length_c 4.804
_cell_angle_alpha 90.00
_cell_angle_beta 90.00
_cell_angle_gamma 90.00
_symmetry_space_group_name_H-M 'P m -3 m'
_symmetry_Int_Tables_number 221
_symmetry_space_group_name_Hall '-P 4 2 3'
loop_
_atom_site_label
_atom_site_fract_x
_atom_site_fract_y
_atom_site_fract_z
Ti1 0.000 0.000 0.500
Nb1 0.000 0.000 0.000
In1 0.500 0.500 0.500

=====

[11]
# FeAgIr2 (PBE, relaxed)
# Size of the total moment = 4.76 μB/cell
# Crystal system = tetragonal
# Energy above the lowest structure with this stoichiometry = 245 meV/atom
# Formation enthalpy at 0 K = 0.37 eV/atom
# Volume = 14.9 A^3/atom
# DOS at the Fermi energy = 4.250 states/eV/cell
data_FeAgIr2
_chemical_formula_sum 'Fe1 Ag1 Ir2'
_cell_length_a 3.910
_cell_length_b 3.910
_cell_length_c 3.895
_cell_angle_alpha 90.00
_cell_angle_beta 90.00
_cell_angle_gamma 90.00
_symmetry_space_group_name_H-M 'P 4/m m m'
_symmetry_Int_Tables_number 123
_symmetry_space_group_name_Hall '-P 4 2'
loop_
_atom_site_label
_atom_site_fract_x
_atom_site_fract_y
_atom_site_fract_z
Fe1 0.000 0.000 0.000
Ag1 0.500 0.500 0.000
Ir1 0.000 0.500 0.500

=====

[12]
# KNiOs (PBE, relaxed)
# Size of the total moment = 0.00 μB/cell
# Crystal system = orthorhombic
# Energy above the lowest structure with this stoichiometry = 0 meV/atom
# Formation enthalpy at 0 K = 0.68 eV/atom
# Volume = 20.5 A^3/atom
# DOS at the Fermi energy = 4.607 states/eV/cell
data_KNiOs
_chemical_formula_sum 'K2 Ni2 Os2'
_cell_length_a 2.617
_cell_length_b 3.901
_cell_length_c 12.055
_cell_angle_alpha 90.00
_cell_angle_beta 90.00
_cell_angle_gamma 90.00
_symmetry_space_group_name_H-M 'I m m 2'
_symmetry_Int_Tables_number 44
loop_
_symmetry_equiv_pos_as_xyz
'x,y,z'
'-x,-y,z'
'-x,y,z'
'x,-y,z'
'x+1/2,y+1/2,z+1/2'
'-x+1/2,-y+1/2,z+1/2'
'-x+1/2,y+1/2,z+1/2'
'x+1/2,-y+1/2,z+1/2'
loop_
_atom_site_label
_atom_site_fract_x
_atom_site_fract_y
_atom_site_fract_z
K1 0.000 0.000 0.000
Ni1 0.000 0.000 0.719
Os1 0.000 0.000 0.277

=====

[13]
# CaCe (PBE, relaxed)
# Size of the total moment = 0.72 μB/cell
# Crystal system = monoclinic
# Formation enthalpy at 0 K = 0.11 eV/atom
# Volume = 35.0 A^3/atom
# DOS at the Fermi energy = 9.813 states/eV/cell
data_CaCe
_chemical_formula_sum 'Ca2 Ce2'
_cell_length_a 3.749
_cell_length_b 4.137
_cell_length_c 9.033
_cell_angle_alpha 90.00
_cell_angle_beta 92.45
_cell_angle_gamma 90.00
_symmetry_space_group_name_H-M 'P 1 21/m 1'
_symmetry_Int_Tables_number 11
loop_
_symmetry_equiv_pos_as_xyz
'x,y,z'
'-x,-y,-z'
'-x,y+1/2,-z'
'x,-y+1/2,z'
loop_
_atom_site_label
_atom_site_fract_x
_atom_site_fract_y
_atom_site_fract_z
Ca1 0.230 0.250 0.347
Ce1 0.325 0.250 0.933

=====

[14]
# Ca2CeHg8 (PBE, relaxed)
# Size of the total moment = 2.48 μB/cell
# Crystal system = orthorhombic
# Formation enthalpy at 0 K = -0.32 eV/atom
# Volume = 26.7 A^3/atom
# DOS at the Fermi energy = 26.081 states/eV/cell
data_Ca2CeHg8
_chemical_formula_sum 'Ca4 Ce2 Hg16'
_cell_length_a 5.195
_cell_length_b 7.853
_cell_length_c 14.381
_cell_angle_alpha 90.00
_cell_angle_beta 90.00
_cell_angle_gamma 90.00
_symmetry_space_group_name_H-M 'I m m m'
_symmetry_Int_Tables_number 71
_symmetry_space_group_name_Hall '-I 2 2'
loop_
_atom_site_label
_atom_site_fract_x
_atom_site_fract_y
_atom_site_fract_z
Ca1 0.000 0.000 0.207
Ce1 0.000 0.000 0.500
Hg1 0.000 0.199 0.000
Hg2 0.000 0.304 0.359
Hg3 0.000 0.500 0.153

=====

[15]
# Ir3PtW (PBE, relaxed)
# Size of the total moment = 0.41 μB/cell
# Crystal system = cubic
# Energy above the lowest structure with this stoichiometry = 679 meV/atom
# Formation enthalpy at 0 K = 2.50 eV/atom
# Volume = 20.6 A^3/atom
# DOS at the Fermi energy = 12.240 states/eV/cell
data_Ir3PtW
_chemical_formula_sum 'Ir3 Pt1 W1'
_cell_length_a 4.691
_cell_length_b 4.691
_cell_length_c 4.691
_cell_angle_alpha 90.00
_cell_angle_beta 90.00
_cell_angle_gamma 90.00
_symmetry_space_group_name_H-M 'P m -3 m'
_symmetry_Int_Tables_number 221
_symmetry_space_group_name_Hall '-P 4 2 3'
loop_
_atom_site_label
_atom_site_fract_x
_atom_site_fract_y
_atom_site_fract_z
Ir1 0.000 0.000 0.500
Pt1 0.000 0.000 0.000
W1 0.500 0.500 0.500

=====

[16]
# Ba2Al2Ge3 (PBE, relaxed)
# Size of the total moment = 0.00 μB/cell
# Crystal system = monoclinic
# Formation enthalpy at 0 K = -0.43 eV/atom
# Volume = 28.2 A^3/atom
# DOS at the Fermi energy = 11.249 states/eV/cell
data_Ba2Al2Ge3
_chemical_formula_sum 'Ba8 Al8 Ge12'
_cell_length_a 17.646
_cell_length_b 4.345
_cell_length_c 12.629
_cell_angle_alpha 90.00
_cell_angle_beta 125.46
_cell_angle_gamma 90.00
_symmetry_space_group_name_H-M 'C 1 2/m 1'
_symmetry_Int_Tables_number 12
loop_
_symmetry_equiv_pos_as_xyz
'x,y,z'
'-x,-y,-z'
'-x,y,-z'
'x,-y,z'
'x+1/2,y+1/2,z'
'-x+1/2,-y+1/2,-z'
'-x+1/2,y+1/2,-z'
'x+1/2,-y+1/2,z'
loop_
_atom_site_label
_atom_site_fract_x
_atom_site_fract_y
_atom_site_fract_z
Ba1 0.118 0.000 0.454
Ba2 0.234 0.000 0.839
Al1 0.033 0.500 0.803
Al2 0.078 0.000 0.134
Ge1 0.065 0.500 0.617
Ge2 0.100 0.000 0.945
Ge3 0.141 0.500 0.274

=====

[17]
# BaCaRu2 (PBE, relaxed)
# Size of the total moment = 0.00 μB/cell
# Crystal system = cubic
# Energy above the lowest structure with this stoichiometry = 645 meV/atom
# Formation enthalpy at 0 K = 0.81 eV/atom
# Volume = 22.5 A^3/atom
# DOS at the Fermi energy = 23.212 states/eV/cell
data_BaCaRu2
_chemical_formula_sum 'Ba4 Ca4 Ru8'
_cell_length_a 7.112
_cell_length_b 7.112
_cell_length_c 7.112
_cell_angle_alpha 90.00
_cell_angle_beta 90.00
_cell_angle_gamma 90.00
_symmetry_space_group_name_H-M 'F m -3 m'
_symmetry_Int_Tables_number 225
_symmetry_space_group_name_Hall '-F 4 2 3'
loop_
_atom_site_label
_atom_site_fract_x
_atom_site_fract_y
_atom_site_fract_z
Ba1 0.000 0.000 0.000
Ca1 0.000 0.000 0.500
Ru1 0.250 0.250 0.250

=====

[18]
# Ba2In2Hg (PBE, relaxed)
# Size of the total moment = 0.00 μB/cell
# Crystal system = tetragonal
# Energy above the lowest structure with this stoichiometry = 153 meV/atom
# Formation enthalpy at 0 K = -0.28 eV/atom
# Volume = 38.3 A^3/atom
# DOS at the Fermi energy = 9.129 states/eV/cell
data_Ba2In2Hg
_chemical_formula_sum 'Ba4 In4 Hg2'
_cell_length_a 4.294
_cell_length_b 4.294
_cell_length_c 20.770
_cell_angle_alpha 90.00
_cell_angle_beta 90.00
_cell_angle_gamma 90.00
_symmetry_space_group_name_H-M 'I 4/m m m'
_symmetry_Int_Tables_number 139
_symmetry_space_group_name_Hall '-I 4 2'
loop_
_atom_site_label
_atom_site_fract_x
_atom_site_fract_y
_atom_site_fract_z
Ba1 0.000 0.000 0.098
In1 0.000 0.500 0.250
Hg1 0.000 0.000 0.500

=====

[19]
# Ac2LaAg3 (PBE, relaxed)
# Size of the total moment = 0.00 μB/cell
# Crystal system = tetragonal
# Formation enthalpy at 0 K = -0.26 eV/atom
# Volume = 30.0 A^3/atom
# DOS at the Fermi energy = 3.992 states/eV/cell
data_Ac2LaAg3
_chemical_formula_sum 'Ac2 La1 Ag3'
_cell_length_a 3.913
_cell_length_b 3.913
_cell_length_c 11.770
_cell_angle_alpha 90.00
_cell_angle_beta 90.00
_cell_angle_gamma 90.00
_symmetry_space_group_name_H-M 'P 4/m m m'
_symmetry_Int_Tables_number 123
_symmetry_space_group_name_Hall '-P 4 2'
loop_
_atom_site_label
_atom_site_fract_x
_atom_site_fract_y
_atom_site_fract_z
Ac1 0.000 0.000 0.170
La1 0.000 0.000 0.500
Ag1 0.500 0.500 0.000
Ag2 0.500 0.500 0.345

=====

[20]
# Zn2CuSb (PBE, relaxed)
# Size of the total moment = 0.00 μB/cell
# Crystal system = monoclinic
# Formation energy (no corrections) = 0.18 eV/atom
# Volume = 18.3 A^3/atom
# DOS at the Fermi energy = 2.776 states/eV/cell
data_Zn2CuSb
_chemical_formula_sum 'Zn4 Cu2 Sb2'
_cell_length_a 5.253
_cell_length_b 10.140
_cell_length_c 3.205
_cell_angle_alpha 90.00
_cell_angle_beta 121.21
_cell_angle_gamma 90.00
_symmetry_space_group_name_H-M 'C 1 2/m 1'
_symmetry_Int_Tables_number 12
loop_
_symmetry_equiv_pos_as_xyz
'x,y,z'
'-x,-y,-z'
'-x,y,-z'
'x,-y,z'
'x+1/2,y+1/2,z'
'-x+1/2,-y+1/2,-z'
'-x+1/2,y+1/2,-z'
'x+1/2,-y+1/2,z'
loop_
_atom_site_label
_atom_site_fract_x
_atom_site_fract_y
_atom_site_fract_z
Zn1 0.250 0.250 0.000
Cu1 0.000 0.000 0.000
Sb1 0.000 0.500 0.000